Entry 1:
This record from Alexandria via LeMat-Bulk describes an optimized crystal structure of SbRhO. The functional is PBE.

Properties
Calculated volume ... 16.25 Å³/atom
DFT total energy ... -6.069 eV per atom
M_tot ... 0.00 μB per formula unit
Energy relative to the elements, uncorrected ... -0.5918 eV/atom
DOS(E_F) ... 0.041 states/eV per atom

Cell: 5.8380 5.8579 5.7903 Å, 82.47 83.48 90.41°
Fractional coordinates of all 12 atoms:
O (0.1071, 0.1100, 0.3398)
O (0.1360, 0.4016, 0.6520)
O (0.5889, 0.3743, 0.3536)
O (0.3951, 0.9066, 0.6573)
Rh (0.9815, 0.4765, 0.2659)
Rh (0.4966, 0.5170, 0.7270)
Rh (0.4814, 0.0021, 0.2692)
Rh (0.0199, 0.0160, 0.7370)
Sb (0.9073, 0.5874, 0.8230)
Sb (0.9071, 0.9092, 0.1922)
Sb (0.5891, 0.1048, 0.8255)
Sb (0.3974, 0.5945, 0.1574)


Entry 2:
This record from Alexandria via LeMat-Bulk describes an optimized crystal structure of ScSbRhO6. The functional is PBE.

Properties
Calculated volume ... 11.52 Å³/atom
DFT total energy ... -6.873 eV per atom
M_tot ... 0.19 μB per formula unit
Energy relative to the elements, uncorrected ... -1.5887 eV/atom
DOS(E_F) ... 0.652 states/eV per atom

Cell: 5.2706 5.2706 8.6186 Å, 90.00 90.00 120.00°
Last column: magnetic moment on the atom in μB.
Fractional coordinates of all 18 atoms:
Sc (0.3333, 0.6667, 0.2500)  0.00
Sc (0.6667, 0.3333, 0.7500)  0.00
Sb (0.6667, 0.3333, 0.2500)  0.00
Sb (0.3333, 0.6667, 0.7500)  0.00
Rh (0.0000, 0.0000, 0.0000)  0.08
Rh (0.0000, 0.0000, 0.5000)  0.08
O (0.6753, 0.6642, 0.1256)  0.01
O (0.9889, 0.3247, 0.1256)  0.01
O (0.3247, 0.9889, 0.6256)  0.01
O (0.0111, 0.6753, 0.8744)  0.01
O (0.3358, 0.3247, 0.3744)  0.01
O (0.9889, 0.6642, 0.3744)  0.01
O (0.6642, 0.9889, 0.8744)  0.01
O (0.6753, 0.0111, 0.3744)  0.01
O (0.0111, 0.3358, 0.6256)  0.01
O (0.3358, 0.0111, 0.1256)  0.01
O (0.6642, 0.6753, 0.6256)  0.01
O (0.3247, 0.3358, 0.8744)  0.01


Entry 3:
This record from Alexandria via LeMat-Bulk describes an optimized crystal structure of SrSbRh2O6. The functional is PBE.

Properties
Calculated volume ... 12.77 Å³/atom
DFT total energy ... -6.324 eV per atom
M_tot ... 0.00 μB per formula unit
Energy relative to the elements, uncorrected ... -1.2982 eV/atom
DOS(E_F) ... 0.504 states/eV per atom

Cell: 5.6140 5.6140 5.6922 Å, 60.45 60.45 60.00°
Fractional coordinates of all 10 atoms:
Sr (0.7851, 0.7852, 0.6446)
Sb (0.3093, 0.3093, 0.0720)
Rh (0.5199, 0.5199, 0.4402)
Rh (0.0145, 0.0145, 0.9566)
O (0.6485, 0.2562, 0.2116)
O (0.2562, 0.8837, 0.2116)
O (0.8837, 0.6485, 0.2116)
O (0.3481, 0.7125, 0.7557)
O (0.7125, 0.1837, 0.7557)
O (0.1837, 0.3481, 0.7557)


Entry 4:
This record from Alexandria via LeMat-Bulk describes an optimized crystal structure of SrSbRhO6. The functional is PBE.

Properties
Calculated volume ... 14.76 Å³/atom
DFT total energy ... -6.277 eV per atom
M_tot ... 2.03 μB per formula unit
Energy relative to the elements, uncorrected ... -1.5095 eV/atom
DOS(E_F) ... 0.329 states/eV per atom

Cell: 5.3084 5.3084 5.4435 Å, 90.00 90.00 60.00°
Last column: magnetic moment on the atom in μB.
Fractional coordinates of all 9 atoms:
Sr (0.0000, 0.0000, 0.0000)  0.00
Sb (0.6666, 0.6667, 0.5000)  0.00
Rh (0.3333, 0.3333, 0.5000)  0.99
O (0.0044, 0.3713, 0.2966)  0.14
O (0.3713, 0.0045, 0.7033)  0.14
O (0.6242, 0.3713, 0.7033)  0.14
O (0.0044, 0.6242, 0.7033)  0.14
O (0.3713, 0.6242, 0.2966)  0.14
O (0.6242, 0.0045, 0.2966)  0.14


Entry 5:
This record from Alexandria via LeMat-Bulk describes an optimized crystal structure of SbTeRhO6. The functional is PBE.

Properties
Calculated volume ... 13.03 Å³/atom
DFT total energy ... -5.901 eV per atom
M_tot ... 0.00 μB per formula unit
Energy relative to the elements, uncorrected ... -0.9714 eV/atom

Cell: 5.2919 5.2919 9.6692 Å, 90.00 90.00 120.00°
Fractional coordinates of all 18 atoms:
Sb (0.0000, 0.0000, 0.0000)
Sb (0.0000, 0.0000, 0.5000)
Te (0.6667, 0.3333, 0.2500)
Te (0.3333, 0.6667, 0.7500)
Rh (0.3333, 0.6667, 0.2500)
Rh (0.6667, 0.3333, 0.7500)
O (0.6459, 0.6379, 0.1367)
O (0.9921, 0.3541, 0.1367)
O (0.3541, 0.9921, 0.6367)
O (0.0079, 0.6459, 0.8633)
O (0.3621, 0.3541, 0.3633)
O (0.9921, 0.6379, 0.3633)
O (0.6379, 0.9921, 0.8633)
O (0.6459, 0.0079, 0.3633)
O (0.0079, 0.3621, 0.6367)
O (0.3621, 0.0079, 0.1367)
O (0.6379, 0.6459, 0.6367)
O (0.3541, 0.3621, 0.8633)


Entry 6:
This record from Alexandria via LeMat-Bulk describes an optimized crystal structure of SbTeRh2O. The functional is PBE.

Properties
Calculated volume ... 26.95 Å³/atom
DFT total energy ... -4.039 eV per atom
M_tot ... 0.25 μB per formula unit
Energy relative to the elements, uncorrected ... 1.3464 eV/atom
DOS(E_F) ... 2.049 states/eV per atom

Cell: 4.8002 5.8490 4.8002 Å, 90.00 90.00 90.00°
Last column: magnetic moment on the atom in μB.
Fractional coordinates of all 5 atoms:
Sb (0.0000, 0.5000, 0.0000)  0.02
Te (0.0000, 0.0000, 0.0000)  0.00
Rh (0.0000, 0.0000, 0.5000)  0.18
Rh (0.5000, 0.0000, 0.0000)  0.12
O (0.5000, 0.5000, 0.5000)  -0.08


Entry 7:
This record from Alexandria via LeMat-Bulk describes an optimized crystal structure of Sb2TeRhO. The functional is PBE.

Properties
Calculated volume ... 20.65 Å³/atom
DFT total energy ... -4.561 eV per atom
M_tot ... 0.00 μB per formula unit
Energy above the lowest structure with this stoichiometry ... 0.0000 eV/atom
Energy relative to the elements, uncorrected ... 0.1781 eV/atom
DOS(E_F) ... 0.444 states/eV per atom

Cell: 4.6215 4.6215 4.8337 Å, 90.00 90.00 90.00°
Fractional coordinates of all 5 atoms:
Sb (0.0000, 0.5000, 0.0000)
Sb (0.5000, 0.0000, 0.0000)
Te (0.0000, 0.0000, 0.5000)
Rh (0.5000, 0.5000, 0.5000)
O (0.0000, 0.0000, 0.0000)


Entry 8:
This record from Alexandria via LeMat-Bulk describes an optimized crystal structure of Sb2TeRhO. The functional is PBE.

Properties
Calculated volume ... 26.87 Å³/atom
DFT total energy ... -4.017 eV per atom
M_tot ... 0.00 μB per formula unit
Energy above the lowest structure with this stoichiometry ... 0.5438 eV/atom
Energy relative to the elements, uncorrected ... 0.7218 eV/atom
DOS(E_F) ... 1.538 states/eV per atom

Cell: 5.1154 5.1154 5.1334 Å, 90.00 90.00 90.00°
Fractional coordinates of all 5 atoms:
Sb (0.0000, 0.5000, 0.0000)
Sb (0.5000, 0.0000, 0.0000)
Te (0.0000, 0.0000, 0.5000)
Rh (0.0000, 0.0000, 0.0000)
O (0.5000, 0.5000, 0.5000)


Entry 9:
This record from Alexandria via LeMat-Bulk describes an optimized crystal structure of TiSbRh2O. The functional is PBE.

Properties
Calculated volume ... 20.95 Å³/atom
DFT total energy ... -5.389 eV per atom
M_tot ... 0.00 μB per formula unit
Energy relative to the elements, uncorrected ... 0.9466 eV/atom
DOS(E_F) ... 0.810 states/eV per atom

Cell: 4.4275 5.3445 4.4275 Å, 90.00 90.00 90.00°
Fractional coordinates of all 5 atoms:
Sb (0.0000, 0.5000, 0.0000)
Rh (0.0000, 0.0000, 0.5000)
Rh (0.5000, 0.0000, 0.0000)
O (0.5000, 0.5000, 0.5000)
Ti (0.0000, 0.0000, 0.0000)


Entry 10:
This record from Alexandria via LeMat-Bulk describes an optimized crystal structure of Tl2SbRh2O6. The functional is PBE.

Properties
Calculated volume ... 16.42 Å³/atom
DFT total energy ... -5.717 eV per atom
M_tot ... 0.00 μB per formula unit
Energy relative to the elements, uncorrected ... -0.8710 eV/atom
DOS(E_F) ... 0.143 states/eV per atom

Cell: 5.4796 5.4796 8.6948 Å, 107.54 107.54 119.95°
Fractional coordinates of all 11 atoms:
Tl (0.8327, 0.1673, 0.0000)
Tl (0.1673, 0.8327, 0.0000)
Sb (0.0000, 0.0000, 0.5000)
Rh (0.3333, 0.6667, 0.5000)
Rh (0.6667, 0.3333, 0.5000)
O (0.8040, 0.8040, 0.6456)
O (0.1391, 0.4748, 0.6457)
O (0.1960, 0.1960, 0.3544)
O (0.4748, 0.1391, 0.6457)
O (0.8609, 0.5252, 0.3543)
O (0.5252, 0.8609, 0.3543)


Entry 11:
This record from Alexandria via LeMat-Bulk describes an optimized crystal structure of USbRhO6. The functional is PBE.

Properties
Calculated volume ... 13.78 Å³/atom
DFT total energy ... -7.727 eV per atom
M_tot ... 0.00 μB per formula unit
Energy relative to the elements, uncorrected ... -1.8919 eV/atom

Cell: 5.3009 5.3009 10.1920 Å, 90.00 90.00 120.00°
Fractional coordinates of all 18 atoms:
U (0.6667, 0.3333, 0.2500)
U (0.3333, 0.6667, 0.7500)
Sb (0.0000, 0.0000, 0.0000)
Sb (0.0000, 0.0000, 0.5000)
Rh (0.3333, 0.6667, 0.2500)
Rh (0.6667, 0.3333, 0.7500)
O (0.6506, 0.6576, 0.1353)
O (0.0069, 0.3494, 0.1353)
O (0.3494, 0.0069, 0.6353)
O (0.9931, 0.6506, 0.8647)
O (0.3424, 0.3494, 0.3647)
O (0.0069, 0.6576, 0.3647)
O (0.6576, 0.0069, 0.8647)
O (0.6506, 0.9931, 0.3647)
O (0.9931, 0.3424, 0.6353)
O (0.3424, 0.9931, 0.1353)
O (0.6576, 0.6506, 0.6353)
O (0.3494, 0.3424, 0.8647)